! MgBIr2 | the Alexandria database | PBE | relaxed; values from VASP
&SYSTEM
  ibrav = 0, nat = 8, ntyp = 3
/
ATOMIC_SPECIES
Mg 24.30 Mg.upf
Ir 192.22 Ir.upf
B 10.81 B.upf
CELL_PARAMETERS angstrom
4.669 0.000 0.000
0.000 4.669 0.000
2.335 2.335 6.688
ATOMIC_POSITIONS angstrom
Mg 0.000 0.000 0.000
Mg 4.669 2.335 3.344
Ir 2.762 1.167 1.672
Ir 1.907 3.502 1.672
Ir 3.502 4.241 5.016
Ir 5.836 5.097 5.016
B 2.335 2.335 0.000
B 2.335 4.669 3.344
! Calculated total energy in eV/atom: -6.156
! Total magnetic moment in μB per atom: 0.000

! MgBIr2 | the Alexandria database | PBE | relaxed; values from VASP
&SYSTEM
  ibrav = 0, nat = 4, ntyp = 3
/
ATOMIC_SPECIES
Mg 24.30 Mg.upf
Ir 192.22 Ir.upf
B 10.81 B.upf
CELL_PARAMETERS angstrom
-1.770 -2.215 -0.603
0.946 -2.727 0.272
-2.539 -1.738 6.868
ATOMIC_POSITIONS angstrom
Mg -1.682 -3.340 3.268
Ir -2.655 -5.015 5.310
Ir -0.709 -1.665 1.227
B 0.000 0.000 0.000
! Calculated total energy in eV/atom: -6.703
! Total magnetic moment in μB per atom: 0.000

! Mg2B2MoIr5 | the Alexandria database | PBE | relaxed; values from VASP
&SYSTEM
  ibrav = 0, nat = 20, ntyp = 4
/
ATOMIC_SPECIES
Mg 24.30 Mg.upf
B 10.81 B.upf
Mo 95.94 Mo.upf
Ir 192.22 Ir.upf
CELL_PARAMETERS angstrom
-0.165 2.559 -1.367
-7.427 -3.310 -5.300
-6.224 3.193 6.729
ATOMIC_POSITIONS angstrom
Mg -6.142 -1.676 -2.396
Mg -7.509 1.559 3.824
Mg -3.326 0.439 1.224
Mg -10.325 -0.557 0.204
B -4.769 1.582 3.538
B -8.882 -1.700 -2.109
B -10.084 0.748 2.618
B -3.568 -0.866 -1.190
Mo 0.000 0.000 0.000
Mo -6.826 -0.059 0.714
Ir -2.171 0.775 -1.376
Ir -11.646 1.667 1.438
Ir -5.460 3.529 4.178
Ir -8.108 0.260 -1.623
Ir -8.357 -1.088 -4.116
Ir -5.709 2.181 1.684
Ir -8.816 1.691 1.141
Ir -5.001 0.751 -1.080
Ir -3.796 -0.376 -3.334
Ir -3.195 2.876 2.681
! Calculated total energy in eV/atom: -7.567
! Total magnetic moment in μB per atom: 0.000

! MgBIrN2 | the Alexandria database | PBE | relaxed; values from VASP
&SYSTEM
  ibrav = 0, nat = 5, ntyp = 4
/
ATOMIC_SPECIES
Mg 24.30 Mg.upf
Ir 192.22 Ir.upf
B 10.81 B.upf
N 14.01 N.upf
CELL_PARAMETERS angstrom
3.298 0.000 0.000
0.000 6.226 0.000
0.000 0.000 3.298
ATOMIC_POSITIONS angstrom
Mg 0.000 3.113 0.000
Ir 1.649 3.113 1.649
B 0.000 0.000 0.000
N 0.000 0.000 1.649
N 1.649 0.000 0.000
! Formation energy from raw total energies in meV per atom: 1651
! Calculated total energy in eV/atom: -5.106
! Total magnetic moment in μB per atom: 0.235

! MgNb2B2Ir5 | the Alexandria database | PBE | relaxed; values from VASP
&SYSTEM
  ibrav = 0, nat = 20, ntyp = 4
/
ATOMIC_SPECIES
Mg 24.30 Mg.upf
Nb 92.91 Nb.upf
B 10.81 B.upf
Ir 192.22 Ir.upf
CELL_PARAMETERS angstrom
-0.340 -2.740 -0.943
9.389 -1.671 1.468
-1.919 -2.862 9.012
ATOMIC_POSITIONS angstrom
Mg 0.000 0.000 0.000
Mg 3.735 -2.267 5.240
Nb 6.051 -1.659 2.638
Nb 1.419 -2.874 7.842
Nb 1.095 -1.215 3.136
Nb 6.375 -3.319 7.345
B -0.022 -2.000 5.822
B 7.492 -2.533 4.659
B 4.195 -3.548 8.799
B 3.275 -0.985 1.681
Ir 1.757 -1.920 0.431
Ir 5.373 -5.354 9.106
Ir -1.063 -3.715 6.667
Ir 5.740 -3.817 4.507
Ir 8.193 -3.559 2.871
Ir 1.390 -3.457 5.030
Ir 3.752 -4.370 6.832
Ir 3.378 -2.904 2.705
Ir 4.524 -2.206 0.263
Ir -1.129 -2.801 4.035
! Calculated total energy in eV/atom: -8.415
! Total magnetic moment in μB per atom: 0.000

! Mg3Ni2BIr3 | the Alexandria database | PBE | relaxed; values from VASP
&SYSTEM
  ibrav = 0, nat = 9, ntyp = 4
/
ATOMIC_SPECIES
Mg 24.30 Mg.upf
Ni 58.69 Ni.upf
B 10.81 B.upf
Ir 192.22 Ir.upf
CELL_PARAMETERS angstrom
-0.571 -1.144 -2.696
-3.887 -4.813 2.866
-2.774 5.922 -1.927
ATOMIC_POSITIONS angstrom
Mg -1.091 2.329 -0.758
Mg -4.042 0.673 0.570
Mg -1.528 -1.893 1.127
Ni -3.430 1.772 -1.677
Ni -3.801 -1.807 -0.080
B 0.000 0.000 0.000
Ir -3.222 -4.208 0.817
Ir -1.914 -0.301 -1.118
Ir -2.381 3.902 -2.804
! Calculated total energy in eV/atom: -5.813
! Total magnetic moment in μB per atom: 0.000

! MgNi2BIr | the Alexandria database | PBE | relaxed; values from VASP
&SYSTEM
  ibrav = 0, nat = 5, ntyp = 4
/
ATOMIC_SPECIES
Ni 58.69 Ni.upf
Mg 24.30 Mg.upf
Ir 192.22 Ir.upf
B 10.81 B.upf
CELL_PARAMETERS angstrom
3.902 0.000 0.000
0.000 3.902 0.000
0.000 0.000 4.064
ATOMIC_POSITIONS angstrom
Ni 0.000 1.951 0.000
Ni 1.951 0.000 0.000
Mg 1.951 1.951 2.032
Ir 0.000 0.000 2.032
B 0.000 0.000 0.000
! Calculated total energy in eV/atom: -6.076
! Total magnetic moment in μB per atom: 0.000

! Mg2NiB2Ir5 | the Alexandria database | PBE | relaxed; values from VASP
&SYSTEM
  ibrav = 0, nat = 20, ntyp = 4
/
ATOMIC_SPECIES
Mg 24.30 Mg.upf
Ni 58.69 Ni.upf
B 10.81 B.upf
Ir 192.22 Ir.upf
CELL_PARAMETERS angstrom
-0.269 -0.300 -2.883
0.216 -9.377 0.954
-9.385 -0.126 0.888
ATOMIC_POSITIONS angstrom
Mg -1.512 -6.367 0.803
Mg -7.657 -3.135 1.040
Mg -2.996 -1.697 0.456
Mg -6.173 -7.805 1.387
Ni 0.000 0.000 0.000
Ni -4.585 -4.751 0.921
B -5.858 -1.271 0.679
B -3.311 -8.231 1.164
B -8.056 -5.990 1.374
B -1.113 -3.512 0.469
Ir -0.745 -2.158 -1.176
Ir -8.693 -7.644 0.136
Ir -7.503 -0.905 -0.676
Ir -4.016 -6.891 -0.379
Ir -1.935 -8.897 -0.364
Ir -5.422 -2.910 -0.661
Ir -6.705 -5.584 -0.264
Ir -2.733 -4.218 -0.776
Ir -0.027 -4.838 -0.964
Ir -4.827 -0.213 -0.997
! Calculated total energy in eV/atom: -7.040
! Total magnetic moment in μB per atom: 0.000

! MgNp2B2Ir5 | the Alexandria database | PBE | relaxed; values from VASP
&SYSTEM
  ibrav = 0, nat = 20, ntyp = 4
/
ATOMIC_SPECIES
Mg 24.30 Mg.upf
Np 237.00 Np.upf
B 10.81 B.upf
Ir 192.22 Ir.upf
CELL_PARAMETERS angstrom
3.148 0.000 0.000
0.000 9.805 0.000
0.000 0.000 9.805
ATOMIC_POSITIONS angstrom
Mg 0.000 0.000 0.000
Mg 0.000 4.902 4.902
Np 0.000 6.663 1.760
Np 0.000 3.142 8.044
Np 0.000 1.760 3.142
Np 0.000 8.044 6.663
B 0.000 1.182 6.085
B 0.000 8.622 3.720
B 0.000 6.085 8.622
B 0.000 3.720 1.182
Ir 1.574 2.217 0.666
Ir 1.574 7.587 9.139
Ir 1.574 0.666 7.587
Ir 1.574 7.120 4.236
Ir 1.574 9.139 2.217
Ir 1.574 2.685 5.568
Ir 1.574 5.568 7.120
Ir 1.574 4.236 2.685
Ir 1.574 4.902 0.000
Ir 1.574 0.000 4.902
! Calculated total energy in eV/atom: -8.893
! Total magnetic moment in μB per atom: 0.664

! MgB2IrOs | the Alexandria database | PBE | relaxed; values from VASP
&SYSTEM
  ibrav = 0, nat = 5, ntyp = 4
/
ATOMIC_SPECIES
Mg 24.30 Mg.upf
Ir 192.22 Ir.upf
Os 190.23 Os.upf
B 10.81 B.upf
CELL_PARAMETERS angstrom
4.056 0.000 0.000
0.000 4.944 0.000
0.000 0.000 4.056
ATOMIC_POSITIONS angstrom
Mg 2.028 2.472 2.028
Ir 0.000 2.472 0.000
Os 0.000 0.000 0.000
B 0.000 0.000 2.028
B 2.028 0.000 0.000
! Calculated total energy in eV/atom: -6.200
! Total magnetic moment in μB per atom: 0.000

! Mg2B2PIr5 | the Alexandria database | PBE | relaxed; values from VASP
&SYSTEM
  ibrav = 0, nat = 20, ntyp = 4
/
ATOMIC_SPECIES
Mg 24.30 Mg.upf
B 10.81 B.upf
P 30.97 P.upf
Ir 192.22 Ir.upf
CELL_PARAMETERS angstrom
2.941 0.000 0.000
0.000 9.376 0.000
0.000 0.000 9.376
ATOMIC_POSITIONS angstrom
Mg 0.000 6.324 1.636
Mg 0.000 3.052 7.741
Mg 0.000 1.636 3.052
Mg 0.000 7.741 6.324
B 0.000 1.184 5.872
B 0.000 8.192 3.504
B 0.000 5.872 8.192
B 0.000 3.504 1.184
P 0.000 0.000 0.000
P 0.000 4.688 4.688
Ir 1.470 1.965 0.680
Ir 1.470 7.411 8.696
Ir 1.470 0.680 7.411
Ir 1.470 6.653 4.008
Ir 1.470 8.696 1.965
Ir 1.470 2.723 5.368
Ir 1.470 5.368 6.653
Ir 1.470 4.008 2.723
Ir 1.470 4.688 0.000
Ir 1.470 0.000 4.688
! Calculated total energy in eV/atom: -7.104
! Total magnetic moment in μB per atom: 0.000

! Mg2BIrPb | the Alexandria database | PBE | relaxed; values from VASP
&SYSTEM
  ibrav = 0, nat = 5, ntyp = 4
/
ATOMIC_SPECIES
Pb 207.20 Pb.upf
Mg 24.30 Mg.upf
Ir 192.22 Ir.upf
B 10.81 B.upf
CELL_PARAMETERS angstrom
4.389 0.000 0.000
0.000 4.828 0.000
0.000 0.000 4.389
ATOMIC_POSITIONS angstrom
Pb 0.000 2.414 0.000
Mg 0.000 0.000 2.195
Mg 2.195 0.000 0.000
Ir 2.195 2.414 2.195
B 0.000 0.000 0.000
! Calculated total energy in eV/atom: -3.823
! Total magnetic moment in μB per atom: 0.000